(1)
This record from Alexandria describes a geometry-optimized KReSbTe2 structure. The functional is GGA-PBE.

For the magnetic moment, the calculation gives 4.9 Bohr magnetons per cell. The calculation puts the total energy at -3.396 eV/atom. The energy above the most stable polymorph in this dataset comes out at 1.126 eV/atom.

The space group is P4/mmm (No. 123) and the conventional cell measures 5.8225, 5.8225 and 6.3164 Å, with angles of 90.00, 90.00 and 90.00 degrees. The distinct sites, in fractional coordinates, are K at (0.0000, 0.0000, 0.0000), Re at (0.5000, 0.5000, 0.0000), Sb at (0.0000, 0.0000, 0.5000) and Te at (0.0000, 0.5000, 0.5000).

(2)
This record from Alexandria describes a geometry-optimized KReSbTe2 structure. The functional is GGA-PBE.

For the magnetic moment, the calculation gives 0.1 Bohr magnetons per cell. The calculation puts the total energy at -2.351 eV/atom. The energy above the most stable polymorph in this dataset comes out at 2.172 eV/atom.

The space group is P4/mmm (No. 123) and the conventional cell measures 5.6875, 5.6875 and 5.4639 Å, with angles of 90.00, 90.00 and 90.00 degrees. The distinct sites, in fractional coordinates, are K at (0.0000, 0.0000, 0.0000), Re at (0.5000, 0.5000, 0.5000), Sb at (0.0000, 0.0000, 0.5000) and Te at (0.0000, 0.5000, 0.0000).

(3)
This record from Alexandria describes a geometry-optimized KTiRe2Sb structure. The functional is GGA-PBE.

For the magnetic moment, the calculation gives 1.1 Bohr magnetons per cell. The calculation puts the total energy at -4.687 eV/atom.

The space group is P4/mmm (No. 123) and the conventional cell measures 4.6823, 4.6823 and 4.4233 Å, with angles of 90.00, 90.00 and 90.00 degrees. The distinct sites, in fractional coordinates, are K at (0.0000, 0.0000, 0.0000), Ti at (0.0000, 0.0000, 0.5000), Re at (0.0000, 0.5000, 0.0000) and Sb at (0.5000, 0.5000, 0.5000).

(4)
This record from Alexandria describes a geometry-optimized KTlReSb2 structure. The functional is GGA-PBE.

For the magnetic moment, the calculation gives 4.5 Bohr magnetons per cell. The calculation puts the total energy at -2.759 eV/atom.

The space group is P4/mmm (No. 123) and the conventional cell measures 5.9091, 5.9091 and 5.6791 Å, with angles of 90.00, 90.00 and 90.00 degrees. The distinct sites, in fractional coordinates, are K at (0.0000, 0.0000, 0.0000), Tl at (0.0000, 0.0000, 0.5000), Re at (0.5000, 0.5000, 0.5000) and Sb at (0.0000, 0.5000, 0.0000).

(5)
This record from Alexandria describes a geometry-optimized KReSbW2 structure. The functional is GGA-PBE.

For the magnetic moment, the calculation gives 0.0 Bohr magnetons per cell. The calculation puts the total energy at -4.919 eV/atom.

The space group is P4/mmm (No. 123) and the conventional cell measures 4.4860, 4.4860 and 5.1102 Å, with angles of 90.00, 90.00 and 90.00 degrees. The distinct sites, in fractional coordinates, are K at (0.0000, 0.0000, 0.0000), Re at (0.5000, 0.5000, 0.5000), Sb at (0.0000, 0.0000, 0.5000) and W at (0.0000, 0.5000, 0.0000).

(6)
This record from Alexandria describes a geometry-optimized KSc2Re structure. The functional is GGA-PBE.

For the magnetic moment, the calculation gives 0.0 Bohr magnetons per cell. The formation energy comes out at 1.014 eV/atom. The calculation puts the total energy at -5.538 eV/atom. The energy above the most stable polymorph in this dataset comes out at 0.859 eV/atom.

The space group is I-4m2 (No. 119) and the conventional cell measures 4.3604, 4.3604 and 9.3146 Å, with angles of 90.00, 90.00 and 90.00 degrees. The distinct sites, in fractional coordinates, are K at (0.0000, 0.0000, 0.0000), Sc at (0.0000, 0.0000, 0.5000), Sc at (0.0000, 0.5000, 0.2500) and Re at (0.0000, 0.5000, 0.7500).

(7)
This record from Alexandria describes a geometry-optimized K2ScRe structure. The functional is GGA-PBE.

For the magnetic moment, the calculation gives 0.0 Bohr magnetons per cell. The formation energy comes out at 1.302 eV/atom. The calculation puts the total energy at -3.941 eV/atom. The energy above the most stable polymorph in this dataset comes out at 0.592 eV/atom.

The space group is P4/mmm (No. 123) and the conventional cell measures 4.1059, 4.1059 and 6.2074 Å, with angles of 90.00, 90.00 and 90.00 degrees. The distinct sites, in fractional coordinates, are K at (0.0000, 0.5000, 0.0000), Sc at (0.0000, 0.0000, 0.5000) and Re at (0.5000, 0.5000, 0.5000).

(8)
This record from Alexandria describes a geometry-optimized K2ScRe structure. The functional is GGA-PBE.

For the magnetic moment, the calculation gives 2.1 Bohr magnetons per cell. The formation energy comes out at 1.430 eV/atom. The calculation puts the total energy at -3.813 eV/atom. The energy above the most stable polymorph in this dataset comes out at 0.720 eV/atom.

The space group is I-4m2 (No. 119) and the conventional cell measures 5.2780, 5.2780 and 7.4792 Å, with angles of 90.00, 90.00 and 90.00 degrees. The distinct sites, in fractional coordinates, are K at (0.0000, 0.0000, 0.0000), K at (0.0000, 0.5000, 0.2500), Sc at (0.0000, 0.0000, 0.5000) and Re at (0.0000, 0.5000, 0.7500).

(9)
This record from Alexandria describes a geometry-optimized K4ScRe structure. The functional is GGA-PBE.

For the magnetic moment, the calculation gives 5.8 Bohr magnetons per cell. The formation energy comes out at 1.512 eV/atom. The calculation puts the total energy at -2.349 eV/atom.

The space group is F-43m (No. 216) and the conventional cell measures 9.6883, 9.6883 and 9.6883 Å, with angles of 90.00, 90.00 and 90.00 degrees. The distinct sites, in fractional coordinates, are K at (0.1234, 0.1234, 0.1234), Sc at (0.0000, 0.0000, 0.5000) and Re at (0.2500, 0.2500, 0.7500).

(10)
This record from Alexandria describes a geometry-optimized K2ScRe structure. The functional is GGA-PBE.

For the magnetic moment, the calculation gives 0.7 Bohr magnetons per cell. The formation energy comes out at 1.273 eV/atom. The calculation puts the total energy at -3.970 eV/atom. The energy above the most stable polymorph in this dataset comes out at 0.563 eV/atom.

The space group is R-3m (No. 166, hexagonal axes) and the conventional cell measures 3.0084, 3.0084 and 38.2638 Å, with angles of 90.00, 90.00 and 120.00 degrees. The distinct sites, in fractional coordinates, are K at (0.0000, 0.0000, 0.2417), Sc at (0.0000, 0.0000, 0.0000) and Re at (0.0000, 0.0000, 0.5000).

(11)
This record from Alexandria describes a geometry-optimized KSc2Re structure. The functional is GGA-PBE.

For the magnetic moment, the calculation gives 0.0 Bohr magnetons per cell. The formation energy comes out at 0.918 eV/atom. The calculation puts the total energy at -5.634 eV/atom. The energy above the most stable polymorph in this dataset comes out at 0.763 eV/atom.

The space group is P4/mmm (No. 123) and the conventional cell measures 4.8890, 4.8890 and 3.6120 Å, with angles of 90.00, 90.00 and 90.00 degrees. The distinct sites, in fractional coordinates, are K at (0.0000, 0.0000, 0.0000), Sc at (0.0000, 0.5000, 0.5000) and Re at (0.5000, 0.5000, 0.0000).

(12)
This record from Alexandria describes a geometry-optimized KScRe2 structure. The functional is GGA-PBE.

For the magnetic moment, the calculation gives 0.0 Bohr magnetons per cell. The formation energy comes out at 0.534 eV/atom. The calculation puts the total energy at -7.548 eV/atom. The energy above the most stable polymorph in this dataset comes out at 0.074 eV/atom.

The space group is Pm (No. 6) and the conventional cell measures 2.9245, 4.1201 and 8.4956 Å, with angles of 90.00, 98.23 and 90.00 degrees. The distinct sites, in fractional coordinates, are K at (0.0000, 0.0000, 0.0000), Sc at (0.1183, 0.5000, 0.6028), Re at (0.4264, 0.0000, 0.4152) and Re at (0.7536, 0.5000, 0.3151).

(13)
This record from Alexandria describes a geometry-optimized KSc2Re structure. The functional is GGA-PBE.

For the magnetic moment, the calculation gives 0.0 Bohr magnetons per cell. The formation energy comes out at 0.527 eV/atom. The calculation puts the total energy at -6.025 eV/atom. The energy above the most stable polymorph in this dataset comes out at 0.372 eV/atom.

The space group is P4mm (No. 99) and the conventional cell measures 3.6522, 3.6522 and 8.5012 Å, with angles of 90.00, 90.00 and 90.00 degrees. The distinct sites, in fractional coordinates, are K at (0.0000, 0.0000, 0.0000), Sc at (0.0000, 0.0000, 0.4027), Sc at (0.5000, 0.5000, 0.6120) and Re at (0.5000, 0.5000, 0.3096).

(14)
This record from Alexandria describes a geometry-optimized KScRe2 structure. The functional is GGA-PBE.

For the magnetic moment, the calculation gives 0.3 Bohr magnetons per cell. The formation energy comes out at 1.081 eV/atom. The calculation puts the total energy at -7.000 eV/atom. The energy above the most stable polymorph in this dataset comes out at 0.621 eV/atom.

The space group is C2/m (No. 12) and the conventional cell measures 5.4307, 10.4009 and 2.6948 Å, with angles of 90.00, 104.37 and 90.00 degrees. The distinct sites, in fractional coordinates, are K at (0.0000, 0.0000, 0.0000), Sc at (0.0000, 0.5000, 0.0000) and Re at (0.2500, 0.2500, 0.5000).

(15)
This record from Alexandria describes a geometry-optimized K2ScRe structure. The functional is GGA-PBE.

For the magnetic moment, the calculation gives 0.0 Bohr magnetons per cell. The formation energy comes out at 0.710 eV/atom. The calculation puts the total energy at -4.533 eV/atom. The energy above the most stable polymorph in this dataset comes out at 0.000 eV/atom.

The space group is C2/m (No. 12) and the conventional cell measures 21.4068, 3.1181 and 4.3765 Å, with angles of 90.00, 101.43 and 90.00 degrees. The distinct sites, in fractional coordinates, are K at (0.1497, 0.0000, 0.1434), Sc at (0.0000, 0.0000, 0.5000) and Re at (0.0000, 0.5000, 0.0000).